# 1
KIn3Bi PBE relaxed; ΔE_f = 276.6 meV/atom; SG = No. 221; energy above the most stable polymorph in this dataset = 2.02 eV/f.u.; crystal system = cubic
1.0
6.019 0.000 0.000
0.000 6.019 0.000
0.000 0.000 6.019
K In Bi
1 3 1
Direct
0.000 0.000 0.000 K
0.000 0.500 0.500 In
0.500 0.000 0.500 In
0.500 0.500 0.000 In
0.500 0.500 0.500 Bi


# 2
BeRe2Sb PBE relaxed; SG = No. 122; formation energy from raw total energies = 0.587 eV per atom; energy above the most stable polymorph in this dataset = 1.65 eV/f.u.; crystal system = tetragonal
1.0
-2.001 2.001 8.737
2.001 -2.001 8.737
2.001 2.001 -8.737
Be Re Sb
2 4 2
Direct
0.000 0.000 0.000 Be
0.750 0.250 0.500 Be
0.045 0.625 0.920 Re
0.375 0.295 0.420 Re
0.705 0.125 0.080 Re
0.875 0.955 0.580 Re
0.250 0.750 0.500 Sb
0.500 0.500 0.000 Sb


# 3
MnV2In PBE relaxed; ΔE_f = 105.1 meV/atom; SG = No. 123; crystal system = tetragonal
1.0
3.122 0.000 0.000
0.000 3.122 0.000
0.000 0.000 6.127
Mn V In
1 2 1
Direct
0.000 0.000 0.000 Mn
0.500 0.500 0.197 V
0.500 0.500 0.803 V
0.000 0.000 0.500 In


# 4
KSn3H PBE relaxed; SG = No. 221; energy above the most stable polymorph in this dataset = 0.90 eV/f.u.; crystal system = cubic
1.0
4.937 0.000 0.000
0.000 4.937 0.000
0.000 0.000 4.937
K Sn H
1 3 1
Direct
0.000 0.000 0.000 K
0.000 0.500 0.500 Sn
0.500 0.000 0.500 Sn
0.500 0.500 0.000 Sn
0.500 0.500 0.500 H


| no. | E_tot (eV/atom) |
| --- | --- |
| 1 | -2.36 |
| 2 | -7.60 |
| 3 | -7.43 |
| 4 | -3.13 |